No. 1
4
Lattice="-2.763 -0.592 0.930 -0.485 -2.498 -3.030 2.147 -4.601 3.449" Properties=species:S:1:pos:R:3 comment="Cd2AgRu, optimized geometry, DFT PBE" ef_ev_per_fu=0.92 sg="Pmmm, No. 47" pbc="T T T"
Ru -1.088 -2.695 -0.187
Cd 0.025 -0.054 0.040
Cd 1.048 -2.247 1.684
Ag -0.014 -4.996 1.537


No. 2
4
Lattice="-2.141 1.600 -1.012 -2.520 -3.501 -0.203 -1.831 1.002 5.458" Properties=species:S:1:pos:R:3 comment="Cd2AgRu, optimized geometry, DFT PBE" ef_ev_per_fu=1.17 sg="Pmm2, No. 25" pbc="T T T"
Ag -3.701 -0.201 3.477
Cd -2.831 -0.677 0.885
Cd -1.806 0.988 5.383
Ru -0.901 0.493 2.685


Number 1: magnetization 0.22 μB per atom, total energy -0.1198 Ha/atom. Number 2: magnetization 0.00 μB per atom, total energy -0.1175 Ha/atom.